3
Lattice="0.000 2.958 2.958 2.958 0.000 2.958 2.958 2.958 0.000" Properties=species:S:1:pos:R:3 comment="UFeTc | OQMD | PBE | relaxed" sg=F-43m crystal_system=cubic m_tot_mub_per_cell=0.04 total_energy_ev_per_atom=-9.6514 ef_ev_per_atom=0.3372 pbc="T T T"
Fe 0.000 0.000 0.000
Tc 4.437 4.437 4.437
U 1.479 1.479 1.479